LiP2Br at its PBEsol-relaxed geometry. Source: Alexandria via LeMat-Bulk, functional SCAN.

Properties
* raw formation energy: -0.36 eV/atom
* excess energy over the best structure of this formula in the dataset: 11 meV/atom

Geometry as CIF:
```
data_LiP2Br
_space_group_name_H-M_alt 'F m m m'
_space_group_IT_number 69
_space_group_name_Hall '-F 2 2'
_cell_length_a 4.729
_cell_length_b 4.753
_cell_length_c 15.001
_cell_angle_alpha 90.00
_cell_angle_beta 90.00
_cell_angle_gamma 90.00
loop_
_atom_site_label
_atom_site_fract_x
_atom_site_fract_y
_atom_site_fract_z
Li1 0.000 0.000 0.000
P1 0.000 0.250 0.250
Br1 0.000 0.000 0.500
```